Here is TbGdAg6 after structural relaxation from OQMD via LeMat-Bulk. Energies are from PBE-GGA.

Lattice parameters (Å, degrees): 5.0232 6.1474 5.2266 90.00 90.00 90.00
With the nearest neighbours (Å) after each atom.
Space group Pmm2 (No. 25)
One atom of each set of equivalent atoms:
Tb  0.0000  0.0000  0.0000 x1  12 Ag 3.02-3.08
Gd  0.5000  0.5000  0.3090 x1  12 Ag 3.03-3.09
Ag  0.0000  0.2540  0.4953 x2  8 Ag 2.91-3.13, 2 Tb 3.02-3.07, 2 Gd 3.09
Ag  0.0000  0.5000  0.9720 x1  8 Ag 2.91-3.13, 2 Gd 3.07, 2 Tb 3.08
Ag  0.5000  0.0000  0.3348 x1  8 Ag 2.92-3.11, 2 Tb 3.06, 2 Gd 3.08
Ag  0.5000  0.2438  0.8138 x2  8 Ag 2.92-3.15, 2 Gd 3.03-3.07, 2 Tb 3.08

M_tot: 0.00 μB/f.u.
ΔE_f: -260 meV per atom